1.
PBE Th4NiRh3, relaxed; total magnetic moment = 0.0 μB per formula unit; ΔH_f (0 K) = -773 meV per atom; density of states at the Fermi level = 3.81 states/eV per cell; raw total energy = -63.70 eV per cell
1.0
4.1003 -0.0512 0.0695
0.0512 6.7983 1.9960
-0.1146 0.4055 7.0729
Rh Ni Th
3 1 4
direct
0.9999 0.0001 0.0001
0.9999 0.5000 0.5000
0.5000 0.0001 0.5000
0.5000 0.5003 0.9998
0.0000 0.2513 0.2488
0.5000 0.7493 0.2493
0.0000 0.7491 0.7510
0.4999 0.2508 0.7508

2.
PBE Ca3Tb4Tl4, relaxed; total magnetic moment = 0.8 μB per formula unit; ΔH_f (0 K) = -193 meV per atom; density of states at the Fermi level = 10.75 states/eV per cell; raw total energy = -36.11 eV per cell
1.0
4.6428 0.0000 0.0000
0.0000 8.9516 0.0000
-2.3214 -4.4758 8.6415
Tl Tb Ca
4 4 3
direct
0.7656 0.2656 0.5312
0.5000 0.1885 0.0000
0.2344 0.7344 0.4688
0.5000 0.8115 0.0000
0.6711 0.8699 0.3422
0.6711 0.4723 0.3422
0.3289 0.1301 0.6578
0.3289 0.5277 0.6578
0.0000 0.5000 0.0000
0.1143 0.1143 0.2287
0.8857 0.8857 0.7713

3.
PBE InCoSb2W, relaxed; total magnetic moment = 0.0 μB per formula unit; energy relative to the elements, uncorrected = 2.08 eV per atom; density of states at the Fermi level = 8.65 states/eV per cell; raw total energy = -20.63 eV per cell
1.0
5.3417 0.0000 0.0000
0.0000 4.5159 0.0000
0.0000 0.0000 5.3417
Co Sb W In
1 2 1 1
direct
0.0000 0.5000 0.0000
0.5000 0.0000 0.0000
0.0000 0.0000 0.5000
0.5000 0.5000 0.5000
0.0000 0.0000 0.0000

4.
PBE SrSmAgSe3, relaxed; total magnetic moment = 0.0 μB per formula unit; energy relative to the elements, uncorrected = -1.52 eV per atom; raw total energy = -57.59 eV per cell
1.0
-3.3017 0.8996 2.4761
-2.4465 -8.2428 -0.2676
5.6920 0.3879 7.4491
Se Sr Sm Ag
6 2 2 2
direct
0.7500 0.4344 0.1577
0.7500 0.2529 0.5100
0.2500 0.5656 0.8423
0.2500 0.0964 0.8708
0.7500 0.9036 0.1292
0.2500 0.7471 0.4900
0.2500 0.1940 0.2396
0.7500 0.8060 0.7604
0.7500 0.3242 0.8320
0.2500 0.6758 0.1680
0.2500 0.0904 0.5854
0.7500 0.9096 0.4146